This record from Alexandria describes a geometry-optimized TlVGaAg2 structure. The functional is GGA-PBE.

```
data_TlVGaAg2
_space_group_name_H-M_alt 'P 4/m m m'
_space_group_IT_number 123
_space_group_name_Hall '-P 4 2'
_cell_length_a 5.199
_cell_length_b 5.199
_cell_length_c 5.137
_cell_angle_alpha 90.00
_cell_angle_beta 90.00
_cell_angle_gamma 90.00
loop_
_atom_site_label
_atom_site_type_symbol
_atom_site_fract_x
_atom_site_fract_y
_atom_site_fract_z
_atom_site_occupancy
Tl1 Tl 0.000 0.000 0.000 1
V1 V 0.500 0.500 0.500 1
Ga1 Ga 0.000 0.000 0.500 1
Ag1 Ag 0.000 0.500 0.000 1
```

Computed properties:
The total moment is 0.23 μB/cell. The volume is 138.9 Å³/f.u. The formation energy comes out at 1397 meV/atom.